<P>
{
  "formula": "Tc2HF",
  "functional": "PBE",
  "state": "relaxed",
  "rho_g_cm3": 8.42,
  "sg": "Fm-3m (225)",
  "crystal_system": "cubic",
  "lattice": [[0.000, 2.772, 2.772], [2.772, 0.000, 2.772], [2.772, 2.772, 0.000]],
  "species": ["Tc", "Tc", "H", "F"],
  "frac_coords": [[0.250, 0.250, 0.250], [0.750, 0.750, 0.750], [0.000, 0.000, 0.000], [0.500, 0.500, 0.500]]
}


<Q>
{
  "formula": "Tc2HF",
  "functional": "PBE",
  "state": "relaxed",
  "rho_g_cm3": 7.80,
  "sg": "I-42d (122)",
  "crystal_system": "tetragonal",
  "lattice": [[-2.323, 2.323, 4.257], [2.323, -2.323, 4.257], [2.323, 2.323, -4.257]],
  "species": ["Tc", "Tc", "Tc", "Tc", "H", "H", "F", "F"],
  "frac_coords": [[0.027, 0.625, 0.902], [0.375, 0.277, 0.402], [0.723, 0.125, 0.098], [0.875, 0.973, 0.598], [0.000, 0.000, 0.000], [0.750, 0.250, 0.500], [0.250, 0.750, 0.500], [0.500, 0.500, 0.000]]
}


The least stable of them is <P>.